First-principles (PBE) data for a relaxed LaAlPt2 crystal, as listed in Alexandria via LeMat-Bulk.

- ΔE_f: -0.7741 eV per atom
- Volume: 20.00 A^3/atom
- Energy: -5.9620 eV/atom
- Calculated density: 11.54 Mg/m³

abc: 6.757 6.776 3.495
angles: 90.00 90.00 90.00
Positions (direct):
1 La 0.000 0.000 0.000
2 La 0.500 0.500 0.000
3 Al 0.000 0.500 0.000
4 Al 0.500 0.000 0.000
5 Pt 0.250 0.250 0.500
6 Pt 0.250 0.750 0.500
7 Pt 0.750 0.250 0.500
8 Pt 0.750 0.750 0.500